1.
# PBE Pr2Ho3, optimized geometry
data_Pr2Ho3
_cell_length_a 6.229
_cell_length_b 6.229
_cell_length_c 8.042
_cell_angle_alpha 130.02
_cell_angle_beta 130.02
_cell_angle_gamma 48.21
_space_group_name_H-M_alt 'P 1'
_space_group_IT_number 1
loop_
_space_group_symop_operation_xyz
'x,y,z'
loop_
_atom_site_label
_atom_site_type_symbol
_atom_site_fract_x
_atom_site_fract_y
_atom_site_fract_z
Pr1 Pr 0.202 0.202 0.300
Pr2 Pr 0.798 0.798 0.700
Ho1 Ho 0.000 0.000 0.500
Ho2 Ho 0.398 0.398 0.098
Ho3 Ho 0.602 0.602 0.902
# * calculated total energy: -23.18 eV/cell
# * D(E_F): 7.11 states/eV/cell
# * calculated formation energy: 0.02 eV/atom


2.
# PBE Pr5Ho4, optimized geometry
data_Pr5Ho4
_cell_length_a 8.125
_cell_length_b 8.125
_cell_length_c 8.125
_cell_angle_alpha 95.68
_cell_angle_beta 95.68
_cell_angle_gamma 143.33
_space_group_name_H-M_alt 'P 1'
_space_group_IT_number 1
loop_
_space_group_symop_operation_xyz
'x,y,z'
loop_
_atom_site_label
_atom_site_type_symbol
_atom_site_fract_x
_atom_site_fract_y
_atom_site_fract_z
Pr1 Pr 0.000 0.000 0.000
Pr2 Pr 0.000 0.330 0.330
Pr3 Pr 0.000 0.670 0.670
Pr4 Pr 0.330 0.000 0.330
Pr5 Pr 0.670 0.000 0.670
Ho1 Ho 0.333 0.333 0.667
Ho2 Ho 0.333 0.667 0.000
Ho3 Ho 0.667 0.333 0.000
Ho4 Ho 0.667 0.667 0.333
# * calculated total energy: -42.04 eV/cell
# * D(E_F): 12.63 states/eV/cell
# * calculated formation energy: 0.02 eV/atom


3.
# PBE PrHo2, optimized geometry
data_PrHo2
_cell_length_a 6.061
_cell_length_b 3.653
_cell_length_c 17.676
_cell_angle_alpha 90.00
_cell_angle_beta 90.00
_cell_angle_gamma 90.00
_space_group_name_H-M_alt 'P 1'
_space_group_IT_number 1
loop_
_space_group_symop_operation_xyz
'x,y,z'
loop_
_atom_site_label
_atom_site_type_symbol
_atom_site_fract_x
_atom_site_fract_y
_atom_site_fract_z
Pr1 Pr 0.245 0.250 0.006
Pr2 Pr 0.255 0.750 0.506
Pr3 Pr 0.745 0.250 0.494
Pr4 Pr 0.755 0.750 0.994
Ho1 Ho 0.100 0.750 0.177
Ho2 Ho 0.101 0.250 0.342
Ho3 Ho 0.399 0.750 0.842
Ho4 Ho 0.400 0.250 0.677
Ho5 Ho 0.600 0.750 0.323
Ho6 Ho 0.601 0.250 0.158
Ho7 Ho 0.899 0.750 0.658
Ho8 Ho 0.900 0.250 0.823
# * ΔE to the lowest computed polymorph: 53 meV per atom
# * calculated total energy: -55.15 eV/cell
# * D(E_F): 17.01 states/eV/cell
# * calculated formation energy: 0.05 eV/atom